The following is a PBE calculation of an optimized crystal structure of SmEu2Hg, from the Alexandria database.

Values from the calculation:
Formation energy from the elements ... -0.12 eV/atom
Polymorph energy (0 for the lowest one) ... 81.2 meV per atom
DOS at the Fermi energy ... 4.630 states/eV/cell
Theoretical density ... 8611 kg/m³

The structure in CIF format:
```
data_SmEu2Hg
_symmetry_space_group_name_H-M 'P 4/m m m'
_symmetry_Int_Tables_number 123
_symmetry_space_group_name_Hall '-P 4 2'
_cell_length_a 4.996
_cell_length_b 4.996
_cell_length_c 5.059
_cell_angle_alpha 90.00
_cell_angle_beta 90.00
_cell_angle_gamma 90.00
loop_
_atom_site_label
_atom_site_fract_x
_atom_site_fract_y
_atom_site_fract_z
Sm1 0.000 0.000 0.000
Eu1 0.000 0.500 0.500
Hg1 0.500 0.500 0.000
```